Below is crystalline Tb4TcAg at its relaxed geometry, with properties calculated at the PBE level.

```
12
Lattice="4.2190 -6.3146 0.0000 4.2190 6.3146 0.0000 -1.7378 0.0000 6.0694" Properties=species:S:1:pos:R:3 pbc="T T T"
Tb 1.6735 4.1357 5.8207
Tb 1.3992 0.9868 3.5980
Tb 4.1578 4.1357 3.2833
Tb 2.2681 -0.9868 0.5633
Tb 4.4320 0.9868 5.5060
Tb 2.5424 -4.1357 2.7860
Tb 5.3009 -0.9868 2.4713
Tb 5.0267 -4.1357 0.2487
Tc 2.9156 6.3026 4.5520
Tc 3.7845 -6.3026 1.5173
Ag 3.7845 1.6026 1.5173
Ag 2.9156 -1.6026 4.5520
```

Results
Formation energy from the elements in meV per atom: -172
V in Å³/cell: 323.39
Mass density in g/cm3: 8.64
Relative energy among the computed polymorphs in eV per atom: 0.000
Size of the total moment in μB per cell: 0.0